1.
The following is a PBE-GGA calculation of a geometry-optimized TbPuSnHg structure, from Alexandria.

Output
- DOS at the Fermi energy: 10.21 states/eV per cell
- Space group: F-43m, No. 216
- Energy of formation from the pure elements: -0.397 eV per atom

a b c (Å): 5.335 5.335 5.335
angles (deg): 60.00 60.00 60.00
Atoms (fractional coordinates):
Tb  0.000  0.000  0.000
Pu  0.500  0.500  0.500
Sn  0.750  0.750  0.750
Hg  0.250  0.250  0.250

---

2.
The following is a PBE-GGA calculation of a geometry-optimized SrCeIr structure, from Alexandria.

Output
- DOS at the Fermi energy: 5.87 states/eV per cell
- Space group: I4mm, No. 107
- Energy of formation from the pure elements: -0.328 eV per atom

a b c (Å): 7.338 7.338 7.338
angles (deg): 151.62 151.62 40.58
Atoms (fractional coordinates):
Sr  0.000  0.000  0.000
Ce  0.249  0.249  0.000
Ir  0.654  0.654  0.000

---

3.
The following is a PBE-GGA calculation of a geometry-optimized ThVN structure, from Alexandria.

Output
- DOS at the Fermi energy: 4.32 states/eV per cell
- Space group: I4mm, No. 107
- Energy relative to the elements, uncorrected: 0.30 eV per atom

a b c (Å): 4.698 4.698 4.698
angles (deg): 129.00 129.00 75.01
Atoms (fractional coordinates):
Th  0.000  0.000  0.000
V  0.455  0.455  0.000
N  0.686  0.686  0.000

---

4.
The following is a PBE-GGA calculation of a geometry-optimized GaO8 structure, from Alexandria.

Output
- DOS at the Fermi energy: 7.43 states/eV per cell
- Space group: I4/mmm, No. 139
- Energy relative to the elements, uncorrected: 0.53 eV per atom

a b c (Å): 6.159 6.159 6.159
angles (deg): 100.76 100.76 128.81
Atoms (fractional coordinates):
Ga  0.000  0.000  0.000
O  0.000  0.421  0.421
O  0.000  0.579  0.579
O  0.399  0.399  0.797
O  0.399  0.601  0.000
O  0.421  0.000  0.421
O  0.579  0.000  0.579
O  0.601  0.399  0.000
O  0.601  0.601  0.203

---

5.
The following is a PBE-GGA calculation of a geometry-optimized Tl3Sb2Pb6 structure, from Alexandria.

Output
- DOS at the Fermi energy: 6.52 states/eV per cell
- Space group: I4/mmm, No. 139
- Energy relative to the elements, uncorrected: 0.10 eV per atom

a b c (Å): 17.522 17.522 17.522
angles (deg): 164.70 164.70 21.70
Atoms (fractional coordinates):
Tl  0.000  0.000  0.000
Tl  0.169  0.169  0.000
Tl  0.831  0.831  0.000
Sb  0.359  0.359  0.000
Sb  0.641  0.641  0.000
Pb  0.074  0.574  0.500
Pb  0.267  0.267  0.000
Pb  0.426  0.926  0.500
Pb  0.574  0.074  0.500
Pb  0.733  0.733  0.000
Pb  0.926  0.426  0.500

---

6.
The following is a PBE-GGA calculation of a geometry-optimized Ta2Nb4Pd structure, from Alexandria.

Output
- DOS at the Fermi energy: 14.38 states/eV per cell
- Space group: Cc, No. 9
- Energy of formation from the pure elements: 0.230 eV per atom

a b c (Å): 7.214 7.214 5.645
angles (deg): 106.15 106.15 81.40
Atoms (fractional coordinates):
Ta  0.001  0.999  0.500
Ta  0.375  0.900  0.260
Ta  0.900  0.375  0.760
Ta  0.999  0.001  0.000
Nb  0.138  0.642  0.271
Nb  0.140  0.636  0.777
Nb  0.277  0.277  0.008
Nb  0.277  0.277  0.508
Nb  0.636  0.140  0.277
Nb  0.642  0.138  0.771
Nb  0.731  0.731  0.002
Nb  0.731  0.731  0.502
Pd  0.378  0.892  0.756
Pd  0.892  0.378  0.256

---

7.
The following is a PBE-GGA calculation of a geometry-optimized Na2USnN4 structure, from Alexandria.

Output
- Space group: P2/m, No. 10
- Energy relative to the elements, uncorrected: -0.52 eV per atom

a b c (Å): 5.722 3.402 6.127
angles (deg): 90.00 109.37 90.00
Atoms (fractional coordinates):
Na  0.000  0.000  0.000
Na  0.500  0.500  0.000
U  0.000  0.500  0.500
Sn  0.500  0.000  0.500
N  0.204  0.000  0.695
N  0.269  0.500  0.304
N  0.731  0.500  0.696
N  0.796  0.000  0.305

---

8.
The following is a PBE-GGA calculation of a geometry-optimized TaTl2Zn structure, from Alexandria.

Output
- DOS at the Fermi energy: 2.13 states/eV per cell
- Space group: I4/mmm, No. 139
- Energy of formation from the pure elements: 0.576 eV per atom

a b c (Å): 5.575 5.575 5.575
angles (deg): 136.15 136.15 63.75
Atoms (fractional coordinates):
Ta  0.000  0.000  0.000
Tl  0.250  0.750  0.500
Tl  0.750  0.250  0.500
Zn  0.500  0.500  0.000

---

9.
The following is a PBE-GGA calculation of a geometry-optimized TlCuTe2 structure, from Alexandria.

Output
- DOS at the Fermi energy: 2.19 states/eV per cell
- Space group: P4mm, No. 99
- Energy relative to the elements, uncorrected: 0.03 eV per atom

a b c (Å): 3.970 3.970 7.283
angles (deg): 90.00 90.00 90.00
Atoms (fractional coordinates):
Tl  0.000  0.000  0.000
Cu  0.500  0.500  0.470
Te  0.000  0.000  0.411
Te  0.500  0.500  0.829

---

10.
The following is a PBE-GGA calculation of a geometry-optimized TiSn structure, from Alexandria.

Output
- DOS at the Fermi energy: 10.90 states/eV per cell
- Space group: P2_12_12_1, No. 19
- Energy of formation from the pure elements: -0.184 eV per atom

a b c (Å): 5.495 5.733 10.178
angles (deg): 90.00 90.00 90.00
Atoms (fractional coordinates):
Ti  0.145  0.010  0.361
Ti  0.148  0.749  0.632
Ti  0.352  0.251  0.132
Ti  0.355  0.990  0.861
Ti  0.645  0.490  0.639
Ti  0.648  0.751  0.368
Ti  0.852  0.249  0.868
Ti  0.855  0.510  0.139
Sn  0.136  0.246  0.626
Sn  0.137  0.525  0.377
Sn  0.363  0.475  0.877
Sn  0.364  0.754  0.126
Sn  0.636  0.254  0.374
Sn  0.637  0.975  0.623
Sn  0.863  0.025  0.123
Sn  0.864  0.746  0.874

---

11.
The following is a PBE-GGA calculation of a geometry-optimized LaTcAs2Br structure, from Alexandria.

Output
- DOS at the Fermi energy: 4.55 states/eV per cell
- Space group: P4/mmm, No. 123
- Energy relative to the elements, uncorrected: 0.83 eV per atom

a b c (Å): 5.716 5.716 5.633
angles (deg): 90.00 90.00 90.00
Atoms (fractional coordinates):
La  0.000  0.000  0.000
Tc  0.500  0.500  0.500
As  0.000  0.500  0.000
As  0.500  0.000  0.000
Br  0.000  0.000  0.500

---

12.
The following is a PBE-GGA calculation of a geometry-optimized HgSe structure, from Alexandria.

Output
- DOS at the Fermi energy: 1.12 states/eV per cell
- Space group: P6_3/mmc, No. 194
- Energy relative to the elements, uncorrected: 0.01 eV per atom

a b c (Å): 4.074 4.074 6.938
angles (deg): 90.00 90.00 120.00
Atoms (fractional coordinates):
Hg  0.000  0.000  0.000
Hg  0.000  0.000  0.500
Se  0.333  0.667  0.250
Se  0.667  0.333  0.750

---

13.
The following is a PBE-GGA calculation of a geometry-optimized La3Ho3Cd2 structure, from Alexandria.

Output
- DOS at the Fermi energy: 17.37 states/eV per cell
- Space group: Cmcm, No. 63
- Energy of formation from the pure elements: -0.072 eV per atom

a b c (Å): 6.511 6.511 16.058
angles (deg): 90.00 90.00 131.54
Atoms (fractional coordinates):
La  0.038  0.962  0.607
La  0.038  0.962  0.893
La  0.271  0.729  0.750
La  0.729  0.271  0.250
La  0.962  0.038  0.107
La  0.962  0.038  0.393
Ho  0.358  0.642  0.537
Ho  0.358  0.642  0.963
Ho  0.450  0.550  0.250
Ho  0.550  0.450  0.750
Ho  0.642  0.358  0.037
Ho  0.642  0.358  0.463
Cd  0.240  0.760  0.129
Cd  0.240  0.760  0.371
Cd  0.760  0.240  0.629
Cd  0.760  0.240  0.871

---

14.
The following is a PBE-GGA calculation of a geometry-optimized Cs2RbTl2 structure, from Alexandria.

Output
- DOS at the Fermi energy: 9.29 states/eV per cell
- Space group: I4/mmm, No. 139
- Energy of formation from the pure elements: 0.039 eV per atom

a b c (Å): 8.959 8.959 8.959
angles (deg): 139.09 139.09 59.24
Atoms (fractional coordinates):
Cs  0.250  0.750  0.500
Cs  0.750  0.250  0.500
Rb  0.000  0.000  0.000
Tl  0.407  0.407  0.000
Tl  0.593  0.593  0.000

---

15.
The following is a PBE-GGA calculation of a geometry-optimized HoTm3Sc3 structure, from Alexandria.

Output
- DOS at the Fermi energy: 28.18 states/eV per cell
- Space group: P6_3/m, No. 176
- Energy of formation from the pure elements: 0.018 eV per atom

a b c (Å): 9.157 9.157 5.389
angles (deg): 90.00 90.00 120.00
Atoms (fractional coordinates):
Ho  0.333  0.667  0.250
Ho  0.667  0.333  0.750
Tm  0.047  0.804  0.250
Tm  0.196  0.243  0.250
Tm  0.243  0.047  0.750
Tm  0.757  0.953  0.250
Tm  0.804  0.757  0.750
Tm  0.953  0.196  0.750
Sc  0.095  0.615  0.750
Sc  0.385  0.480  0.750
Sc  0.480  0.095  0.250
Sc  0.520  0.905  0.750
Sc  0.615  0.520  0.250
Sc  0.905  0.385  0.250

---

16.
The following is a PBE-GGA calculation of a geometry-optimized InTeRu2 structure, from Alexandria.

Output
- DOS at the Fermi energy: 3.00 states/eV per cell
- Space group: R3m, No. 160
- Energy relative to the elements, uncorrected: 0.43 eV per atom

a b c (Å): 10.425 10.425 10.425
angles (deg): 16.65 16.65 16.65
Atoms (fractional coordinates):
In  0.000  0.000  0.000
Te  0.790  0.790  0.790
Ru  0.258  0.258  0.258
Ru  0.527  0.527  0.527

---

17.
The following is a PBE-GGA calculation of a geometry-optimized NdCdPd structure, from Alexandria.

Output
- DOS at the Fermi energy: 14.19 states/eV per cell
- Space group: Pmma, No. 51
- Energy of formation from the pure elements: -0.644 eV per atom

a b c (Å): 13.548 4.006 7.816
angles (deg): 90.00 90.00 90.00
Atoms (fractional coordinates):
Nd  0.046  0.000  0.235
Nd  0.250  0.000  0.843
Nd  0.454  0.000  0.235
Nd  0.546  0.000  0.765
Nd  0.750  0.000  0.157
Nd  0.954  0.000  0.765
Cd  0.116  0.500  0.567
Cd  0.250  0.500  0.197
Cd  0.384  0.500  0.567
Cd  0.616  0.500  0.433
Cd  0.750  0.500  0.803
Cd  0.884  0.500  0.433
Pd  0.096  0.500  0.939
Pd  0.250  0.000  0.449
Pd  0.404  0.500  0.939
Pd  0.596  0.500  0.061
Pd  0.750  0.000  0.551
Pd  0.904  0.500  0.061

---

18.
The following is a PBE-GGA calculation of a geometry-optimized Ce4GaNi2 structure, from Alexandria.

Output
- DOS at the Fermi energy: 15.41 states/eV per cell
- Space group: R-3m, No. 166
- Energy of formation from the pure elements: -0.199 eV per atom

a b c (Å): 8.245 8.245 8.245
angles (deg): 33.99 33.99 33.99
Atoms (fractional coordinates):
Ce  0.109  0.109  0.109
Ce  0.279  0.279  0.279
Ce  0.721  0.721  0.721
Ce  0.891  0.891  0.891
Ga  0.500  0.500  0.500
Ni  0.394  0.394  0.394
Ni  0.606  0.606  0.606

---

19.
The following is a PBE-GGA calculation of a geometry-optimized Rb2TlReAg structure, from Alexandria.

Output
- DOS at the Fermi energy: 3.11 states/eV per cell
- Space group: P4/mmm, No. 123
- Energy of formation from the pure elements: 1.228 eV per atom

a b c (Å): 6.885 6.885 5.292
angles (deg): 90.00 90.00 90.00
Atoms (fractional coordinates):
Rb  0.000  0.500  0.000
Rb  0.500  0.000  0.000
Tl  0.000  0.000  0.000
Re  0.000  0.000  0.500
Ag  0.500  0.500  0.500

---

20.
The following is a PBE-GGA calculation of a geometry-optimized Co4PPb structure, from Alexandria.

Output
- DOS at the Fermi energy: 7.73 states/eV per cell
- Space group: F-43m, No. 216
- Energy of formation from the pure elements: 0.451 eV per atom

a b c (Å): 4.928 4.928 4.928
angles (deg): 60.00 60.00 60.00
Atoms (fractional coordinates):
Co  0.124  0.124  0.124
Co  0.124  0.124  0.628
Co  0.124  0.628  0.124
Co  0.628  0.124  0.124
P  0.750  0.750  0.750
Pb  0.500  0.500  0.500

---

21.
The following is a PBE-GGA calculation of a geometry-optimized Sc2HgPt structure, from Alexandria.

Output
- DOS at the Fermi energy: 3.71 states/eV per cell
- Space group: R-3m, No. 166
- Energy of formation from the pure elements: -0.099 eV per atom

a b c (Å): 10.084 10.084 10.084
angles (deg): 18.04 18.04 18.04
Atoms (fractional coordinates):
Sc  0.085  0.085  0.085
Sc  0.915  0.915  0.915
Hg  0.500  0.500  0.500
Pt  0.000  0.000  0.000

---

22.
The following is a PBE-GGA calculation of a geometry-optimized Cd2AsW structure, from Alexandria.

Output
- DOS at the Fermi energy: 2.14 states/eV per cell
- Space group: P2/m, No. 10
- Energy of formation from the pure elements: 0.541 eV per atom

a b c (Å): 2.856 5.308 5.145
angles (deg): 90.00 99.09 90.00
Atoms (fractional coordinates):
Cd  0.245  0.000  0.246
Cd  0.755  0.000  0.754
As  0.500  0.500  0.500
W  0.500  0.500  0.000

---

23.
The following is a PBE-GGA calculation of a geometry-optimized SrLiPd2 structure, from Alexandria.

Output
- DOS at the Fermi energy: 3.46 states/eV per cell
- Space group: I-42d, No. 122
- Energy of formation from the pure elements: -0.258 eV per atom

a b c (Å): 8.919 8.919 8.919
angles (deg): 147.83 147.83 46.13
Atoms (fractional coordinates):
Sr  0.000  0.000  0.000
Sr  0.750  0.250  0.500
Li  0.250  0.750  0.500
Li  0.500  0.500  0.000
Pd  0.304  0.125  0.679
Pd  0.375  0.696  0.821
Pd  0.446  0.625  0.321
Pd  0.875  0.554  0.179

---

24.
The following is a PBE-GGA calculation of a geometry-optimized Li4Cu3Ge5 structure, from Alexandria.

Output
- DOS at the Fermi energy: 4.71 states/eV per cell
- Space group: C2/m, No. 12
- Energy of formation from the pure elements: -0.004 eV per atom

a b c (Å): 6.585 6.585 7.067
angles (deg): 104.93 104.93 41.15
Atoms (fractional coordinates):
Li  0.166  0.166  0.384
Li  0.296  0.296  0.127
Li  0.704  0.704  0.873
Li  0.834  0.834  0.616
Cu  0.000  0.000  0.000
Cu  0.402  0.402  0.510
Cu  0.598  0.598  0.490
Ge  0.068  0.068  0.688
Ge  0.291  0.291  0.758
Ge  0.500  0.500  0.000
Ge  0.709  0.709  0.242
Ge  0.932  0.932  0.312

---

25.
The following is a PBE-GGA calculation of a geometry-optimized SrAlSe4 structure, from Alexandria.

Output
- DOS at the Fermi energy: 4.49 states/eV per cell
- Space group: F-43m, No. 216
- Energy relative to the elements, uncorrected: -0.13 eV per atom

a b c (Å): 5.953 5.953 5.953
angles (deg): 60.00 60.00 60.00
Atoms (fractional coordinates):
Sr  0.000  0.000  0.000
Al  0.750  0.750  0.750
Se  0.376  0.376  0.376
Se  0.376  0.376  0.873
Se  0.376  0.873  0.376
Se  0.873  0.376  0.376

---

no.,magnetization (Bohr magnetons per cell)
1,6.66
2,0.68
3,0.00
4,4.69
5,0.00
6,0.00
7,0.00
8,0.00
9,0.00
10,0.00
11,4.47
12,0.00
13,0.00
14,0.00
15,1.80
16,0.00
17,0.00
18,1.37
19,3.15
20,6.80
21,0.00
22,0.00
23,0.00
24,0.00
25,0.00